Density functional theory data (GGA-PBE) for a geometry-optimized Li2ZnCu structure.

Computed properties:
Total moment   0.00 μB/f.u.
Formation energy   -70 meV per atom
Final energy   -0.1742 Ry/atom

Structure (CIF):
```
data_Li2ZnCu
_symmetry_space_group_name_H-M 'P 1'
_symmetry_Int_Tables_number 1
_symmetry_space_group_name_Hall 'P 1'
_cell_length_a 4.4292
_cell_length_b 2.5421
_cell_length_c 4.9355
_cell_angle_alpha 82.92
_cell_angle_beta 90.00
_cell_angle_gamma 90.00
loop_
_atom_site_label
_atom_site_fract_x
_atom_site_fract_y
_atom_site_fract_z
_atom_site_occupancy
Cu1 0.5000 0.7500 0.7500 1
Zn1 0.5000 0.2500 0.2500 1
Li1 0.0000 0.5215 0.5053 1
Li2 0.0000 0.9785 0.9947 1
```